1.
This record from Alexandria via LeMat-Bulk describes a geometry-optimized Cu2BiPt structure. The functional is PBE.

Cell lengths 7.286, 7.286, 5.853 Å; angles 51.50, 51.50, 90.00 degrees
Fractional positions:
Cu  0.602  0.125  0.250
Cu  0.148  0.625  0.250
Cu  0.375  0.398  0.750
Cu  0.875  0.852  0.750
Bi  0.000  0.000  0.000
Bi  0.750  0.250  0.500
Pt  0.500  0.500  0.000
Pt  0.250  0.750  0.500

Results
Space group   I-42d (122)


2.
This record from Alexandria via LeMat-Bulk describes a geometry-optimized Cu4BiPt structure. The functional is PBE.

Cell lengths 5.027, 5.030, 5.030 Å; angles 59.96, 60.02, 60.02 degrees
Fractional positions:
Cu  0.794  0.125  0.125
Cu  0.289  0.127  0.127
Cu  0.792  0.622  0.126
Cu  0.792  0.126  0.622
Bi  0.417  0.750  0.750
Pt  0.167  0.500  0.500

Results
Space group   Cm (8)


3.
This record from Alexandria via LeMat-Bulk describes a geometry-optimized Cu2BiPt2 structure. The functional is PBE.

Cell lengths 3.714, 3.714, 6.932 Å; angles 74.46, 74.46, 90.00 degrees
Fractional positions:
Cu  0.750  0.250  0.500
Cu  0.250  0.750  0.500
Bi  0.000  0.000  0.000
Pt  0.390  0.390  0.220
Pt  0.610  0.610  0.780

Results
Space group   I4/mmm (139)
Energy relative to the lowest polymorph listed for this composition   22 meV/atom


4.
This record from Alexandria via LeMat-Bulk describes a geometry-optimized Cu3BiPt3 structure. The functional is PBE.

Cell lengths 6.715, 6.715, 6.715 Å; angles 90.00, 90.00, 90.00 degrees
Fractional positions:
Cu  0.000  0.250  0.500
Cu  0.000  0.750  0.500
Cu  0.500  0.000  0.750
Cu  0.750  0.500  0.000
Cu  0.500  0.000  0.250
Cu  0.250  0.500  0.000
Bi  0.500  0.500  0.500
Bi  0.000  0.000  0.000
Pt  0.250  0.000  0.500
Pt  0.000  0.500  0.250
Pt  0.500  0.750  0.000
Pt  0.750  0.000  0.500
Pt  0.000  0.500  0.750
Pt  0.500  0.250  0.000

Results
Space group   Pm-3n (223)


5.
This record from Alexandria via LeMat-Bulk describes a geometry-optimized Cu2BiPt2 structure. The functional is PBE.

Cell lengths 7.422, 7.422, 3.026 Å; angles 90.00, 90.00, 90.00 degrees
Fractional positions:
Cu  0.377  0.877  0.000
Cu  0.877  0.623  0.000
Cu  0.623  0.123  0.000
Cu  0.123  0.377  0.000
Bi  0.000  0.000  0.000
Bi  0.500  0.500  0.000
Pt  0.168  0.668  0.500
Pt  0.668  0.832  0.500
Pt  0.832  0.332  0.500
Pt  0.332  0.168  0.500

Results
Space group   P4/mbm (127)
Energy relative to the lowest polymorph listed for this composition   17 meV/atom


6.
This record from Alexandria via LeMat-Bulk describes a geometry-optimized Cu3BiPt structure. The functional is PBE.

Cell lengths 4.712, 4.712, 4.712 Å; angles 90.00, 90.00, 90.00 degrees
Fractional positions:
Cu  0.000  0.500  0.000
Cu  0.000  0.000  0.500
Cu  0.500  0.000  0.000
Bi  0.500  0.500  0.500
Pt  0.000  0.000  0.000

Results
Space group   Pm-3m (221)


7.
This record from Alexandria via LeMat-Bulk describes a geometry-optimized CuBi3Pt structure. The functional is PBE.

Cell lengths 5.132, 5.132, 5.132 Å; angles 90.00, 90.00, 90.00 degrees
Fractional positions:
Cu  0.000  0.000  0.000
Bi  0.000  0.500  0.000
Bi  0.000  0.000  0.500
Bi  0.500  0.000  0.000
Pt  0.500  0.500  0.500

Results
Space group   Pm-3m (221)
Energy relative to the lowest polymorph listed for this composition   0 meV/atom


8.
This record from Alexandria via LeMat-Bulk describes a geometry-optimized CuBiPt2 structure. The functional is PBE.

Cell lengths 3.275, 3.275, 6.612 Å; angles 90.00, 90.00, 90.00 degrees
Fractional positions:
Cu  0.500  0.500  0.000
Bi  0.500  0.500  0.500
Pt  0.000  0.000  0.791
Pt  0.000  0.000  0.209

Results
Space group   P4/mmm (123)


What are the formation enthalpy at 0 K values for these records? In order: 0.248 0.036 -0.010 0.719 -0.015 0.581 0.616 -0.043 eV/atom.